Entry from Alexandria via LeMat-Bulk: a geometry-optimized AcLa2Fe structure (GGA-PBE).

Lattice parameters (Å, degrees): 3.892 3.892 10.919 79.73 79.73 60.00
Positions (direct):
La 0.882 0.882 0.354
La 0.118 0.118 0.646
Ac 0.000 0.000 0.000
Fe 0.500 0.500 0.500

- Volume: 35.05 Å³/atom
- Energy of formation from the pure elements: 281 meV per atom
- Total energy: -5.33 eV/atom
- DOS at the Fermi energy: 4.79 states/eV per cell

***

Entry from Alexandria via LeMat-Bulk: a geometry-optimized Ac2LaFeN4 structure (GGA-PBE).

Lattice parameters (Å, degrees): 3.601 6.802 12.677 90.00 90.00 105.35
Positions (direct):
Fe 0.821 0.643 0.750
Fe 0.179 0.357 0.250
N 0.723 0.445 0.639
N 0.635 0.270 0.250
N 0.000 0.000 0.500
N 0.277 0.555 0.139
N 0.723 0.445 0.861
N 0.000 0.000 0.000
N 0.277 0.555 0.361
N 0.365 0.730 0.750
Ac 0.630 0.260 0.457
Ac 0.370 0.740 0.957
Ac 0.370 0.740 0.543
Ac 0.630 0.260 0.043
La 0.860 0.721 0.250
La 0.140 0.279 0.750

- Volume: 18.72 Å³/atom
- Raw formation energy: -0.75 eV per atom
- Total energy: -7.61 eV/atom
- DOS at the Fermi energy: 9.36 states/eV per cell

***

Entry from Alexandria via LeMat-Bulk: a geometry-optimized AcLaFeN2 structure (GGA-PBE).

Lattice parameters (Å, degrees): 5.211 5.547 7.154 91.36 90.00 90.00
Positions (direct):
N 0.251 0.762 0.497
N 0.749 0.238 0.503
N 0.749 0.762 0.997
N 0.251 0.238 0.003
Fe 0.000 0.000 0.500
Fe 0.000 0.000 0.000
La 0.505 0.000 0.750
La 0.495 0.000 0.250
Ac 0.986 0.500 0.250
Ac 0.014 0.500 0.750

- Volume: 20.68 Å³/atom
- Raw formation energy: -0.66 eV per atom
- Total energy: -7.49 eV/atom
- DOS at the Fermi energy: 2.95 states/eV per cell

***

Entry from Alexandria via LeMat-Bulk: a geometry-optimized LiAc3Fe structure (GGA-PBE).

Lattice parameters (Å, degrees): 5.610 5.610 5.610 90.00 90.00 90.00
Positions (direct):
Fe 0.000 0.000 0.000
Ac 0.000 0.000 0.500
Ac 0.000 0.500 0.000
Ac 0.500 0.000 0.000
Li 0.500 0.500 0.500

- Volume: 35.31 Å³/atom
- Energy of formation from the pure elements: 146 meV per atom
- Total energy: -4.39 eV/atom
- DOS at the Fermi energy: 6.84 states/eV per cell

***

Entry from Alexandria via LeMat-Bulk: a geometry-optimized Li2Ac4Fe structure (GGA-PBE).

Lattice parameters (Å, degrees): 5.466 5.466 9.380 106.94 106.94 90.00
Positions (direct):
Li 0.632 0.632 0.264
Li 0.368 0.368 0.736
Ac 0.171 0.171 0.342
Ac 0.829 0.829 0.658
Ac 0.500 0.000 0.000
Ac 0.000 0.500 0.000
Fe 0.000 0.000 0.000

- Volume: 36.48 Å³/atom
- Energy of formation from the pure elements: 215 meV per atom
- Total energy: -3.89 eV/atom
- DOS at the Fermi energy: 10.85 states/eV per cell

***

Entry from Alexandria via LeMat-Bulk: a geometry-optimized LiAcFeN2 structure (GGA-PBE).

Lattice parameters (Å, degrees): 4.826 4.982 6.171 113.81 90.00 90.00
Positions (direct):
Fe 0.000 0.000 0.000
Fe 0.000 0.500 0.000
N 0.265 0.382 0.764
N 0.735 0.882 0.764
N 0.265 0.118 0.236
N 0.735 0.618 0.236
Ac 0.742 0.250 0.500
Ac 0.258 0.750 0.500
Li 0.500 0.250 0.000
Li 0.500 0.750 0.000

- Volume: 13.57 Å³/atom
- Raw formation energy: -0.38 eV per atom
- Total energy: -6.61 eV/atom
- DOS at the Fermi energy: 4.89 states/eV per cell